Here is crystalline YLuSe3 at its relaxed geometry from Alexandria. Energies are from PBE.

Cell: 19.859 9.096 9.096 Å, 151.69 153.37 26.63°
Fractional positions:
Se  0.248  0.707  0.293
Lu  0.909  0.992  0.008
Y  0.637  0.015  0.985
Y  0.363  0.985  0.015
Se  0.604  0.215  0.785
Se  0.396  0.785  0.215
Se  0.752  0.293  0.707
Se  0.009  0.318  0.682
Se  0.991  0.682  0.318
Lu  0.091  0.008  0.992

Computed properties:
uncorrected formation energy: -1.711 eV per atom
energy above the most stable polymorph in this dataset: 169 meV per atom
total energy: -5.999 eV per atom
D(E_F): 0.000 states/eV per cell
space-group type: No. 12
total magnetic moment: 0.0 Bohr magnetons per cell